1.
VASP calculation (PBE-GGA) on a relaxed Nd8Tm6Tl crystal.

a = 6.483 Å, b = 9.382 Å, c = 9.382 Å
α = 120.00°, β = 90.00°, γ = 90.00°
Atoms (fractional coordinates):
Nd  0.820  0.043  0.275
Nd  0.820  0.725  0.769
Nd  0.820  0.231  0.957
Nd  0.180  0.957  0.725
Nd  0.180  0.275  0.231
Nd  0.180  0.769  0.043
Nd  0.839  0.333  0.667
Nd  0.161  0.667  0.333
Tm  0.668  0.648  0.100
Tm  0.668  0.900  0.548
Tm  0.668  0.452  0.352
Tm  0.332  0.352  0.900
Tm  0.332  0.100  0.452
Tm  0.332  0.548  0.648
Tl  0.500  0.000  0.000

Summary:
energy of formation = 0.0928 eV per atom
density of states at the Fermi level = 20.92 states/eV/f.u.
total moment = 0.00 Bohr magnetons per cell
SG = P-3, No. 147

=====

2.
VASP calculation (PBE-GGA) on a relaxed NdTm4Tl crystal.

a = 3.570 Å, b = 3.570 Å, c = 14.099 Å
α = 90.00°, β = 90.00°, γ = 90.00°
Atoms (fractional coordinates):
Nd  0.000  0.000  0.000
Tm  0.500  0.500  0.180
Tm  0.000  0.000  0.649
Tm  0.000  0.000  0.351
Tm  0.500  0.500  0.820
Tl  0.500  0.500  0.500

Summary:
energy of formation = -0.0986 eV per atom
density of states at the Fermi level = 6.49 states/eV/f.u.
total moment = 0.00 Bohr magnetons per cell
SG = P4/mmm, No. 123
distance to the lowest polymorph of the same formula = 0 meV per atom

=====

3.
VASP calculation (PBE-GGA) on a relaxed Nd2Tm2Tl5 crystal.

a = 7.238 Å, b = 9.806 Å, c = 9.771 Å
α = 120.12°, β = 111.74°, γ = 90.00°
Atoms (fractional coordinates):
Nd  0.093  0.691  0.257
Nd  0.907  0.435  0.743
Nd  0.664  0.191  0.257
Nd  0.336  0.935  0.743
Tm  0.000  0.998  0.000
Tm  0.500  0.498  0.000
Tm  0.270  0.376  0.500
Tm  0.730  0.876  0.500
Tl  0.263  0.735  0.916
Tl  0.737  0.818  0.084
Tl  0.153  0.235  0.916
Tl  0.847  0.318  0.084
Tl  0.360  0.996  0.305
Tl  0.640  0.691  0.695
Tl  0.445  0.496  0.305
Tl  0.555  0.191  0.695
Tl  0.953  0.596  0.500
Tl  0.047  0.096  0.500

Summary:
energy of formation = -0.1542 eV per atom
density of states at the Fermi level = 7.51 states/eV/f.u.
total moment = 0.00 Bohr magnetons per cell
SG = Ima2, No. 46

=====

4.
VASP calculation (PBE-GGA) on a relaxed Nd3TmTl crystal.

a = 6.542 Å, b = 10.928 Å, c = 9.720 Å
α = 109.95°, β = 90.00°, γ = 90.00°
Atoms (fractional coordinates):
Nd  0.012  0.776  0.652
Nd  0.988  0.224  0.348
Nd  0.512  0.724  0.848
Nd  0.488  0.276  0.152
Nd  0.527  0.782  0.505
Nd  0.473  0.218  0.495
Nd  0.027  0.718  0.995
Nd  0.973  0.282  0.005
Nd  0.151  0.564  0.274
Nd  0.849  0.436  0.726
Nd  0.651  0.936  0.226
Nd  0.349  0.064  0.774
Tm  0.854  0.093  0.637
Tm  0.146  0.907  0.363
Tm  0.354  0.407  0.863
Tm  0.646  0.593  0.137
Tl  0.280  0.505  0.576
Tl  0.720  0.495  0.424
Tl  0.780  0.995  0.924
Tl  0.220  0.005  0.076

Summary:
energy of formation = -0.0682 eV per atom
density of states at the Fermi level = 5.91 states/eV/f.u.
total moment = 0.00 Bohr magnetons per cell
SG = P2_1/c, No. 14
distance to the lowest polymorph of the same formula = 10 meV per atom